# 1
YCoB4 GGA-PBEsol optimized geometry; Fermi-level density of states = 0.36 states/eV/atom; formation energy = -0.659 eV per atom
1.0
5.8617 0.0000 0.0000
0.0000 11.3548 0.0000
0.0000 0.0000 3.3285
Y Co B
4 4 16
direct
0.1280 0.1498 0.0000 Y
0.3720 0.6498 0.0000 Y
0.6280 0.3502 0.0000 Y
0.8720 0.8502 0.0000 Y
0.1340 0.4110 0.0000 Co
0.3660 0.9110 0.0000 Co
0.6340 0.0890 0.0000 Co
0.8660 0.5890 0.0000 Co
0.0229 0.6908 0.5000 B
0.1112 0.5460 0.5000 B
0.1389 0.9673 0.5000 B
0.2177 0.8156 0.5000 B
0.2823 0.3156 0.5000 B
0.3611 0.4673 0.5000 B
0.3888 0.0460 0.5000 B
0.4771 0.1908 0.5000 B
0.5229 0.8092 0.5000 B
0.6112 0.9540 0.5000 B
0.6389 0.5327 0.5000 B
0.7177 0.6844 0.5000 B
0.7823 0.1844 0.5000 B
0.8611 0.0327 0.5000 B
0.8888 0.4540 0.5000 B
0.9771 0.3092 0.5000 B

***

# 2
Zn2Co2B GGA-PBEsol optimized geometry; Fermi-level density of states = 0.56 states/eV/atom; formation energy = -0.145 eV per atom
1.0
5.2081 0.0000 0.0000
0.0000 5.2081 0.0000
0.0000 0.0000 3.9480
Zn Co B
4 4 2
direct
0.1644 0.3356 0.0000 Zn
0.3356 0.8356 0.0000 Zn
0.6644 0.1644 0.0000 Zn
0.8356 0.6644 0.0000 Zn
0.1551 0.6551 0.5000 Co
0.3449 0.1551 0.5000 Co
0.6551 0.8449 0.5000 Co
0.8449 0.3449 0.5000 Co
0.0000 0.0000 0.5000 B
0.5000 0.5000 0.5000 B

***

# 3
ZrCo3B2 GGA-PBEsol optimized geometry; Fermi-level density of states = 0.46 states/eV/atom; formation energy = -0.648 eV per atom; distance to the lowest polymorph of the same formula = 11.3 meV per atom
1.0
4.7969 0.0000 0.0000
-2.3984 4.1542 0.0000
0.0000 0.0000 3.0144
Zr Co B
1 3 2
direct
0.0000 0.0000 0.0000 Zr
0.0000 0.5000 0.5000 Co
0.5000 0.0000 0.5000 Co
0.5000 0.5000 0.5000 Co
0.3333 0.6667 0.0000 B
0.6667 0.3333 0.0000 B

***

# 4
ZrCoB2 GGA-PBEsol optimized geometry; Fermi-level density of states = 0.43 states/eV/atom; formation energy = 0.058 eV per atom
1.0
5.5070 0.0000 0.0000
0.0000 5.5070 0.0000
0.0000 0.0000 5.5070
Zr Co B
4 4 8
direct
0.0000 0.0000 0.0000 Zr
0.0000 0.5000 0.5000 Zr
0.5000 0.0000 0.5000 Zr
0.5000 0.5000 0.0000 Zr
0.0000 0.0000 0.5000 Co
0.0000 0.5000 0.0000 Co
0.5000 0.0000 0.0000 Co
0.5000 0.5000 0.5000 Co
0.2500 0.2500 0.2500 B
0.2500 0.2500 0.7500 B
0.2500 0.7500 0.2500 B
0.2500 0.7500 0.7500 B
0.7500 0.2500 0.2500 B
0.7500 0.2500 0.7500 B
0.7500 0.7500 0.2500 B
0.7500 0.7500 0.7500 B